1.
A plane-wave DFT calculation with GGA-PBE was carried out for crystalline Rb2CaMnI6 at its relaxed geometry.

a b c (Å): 8.501 8.501 8.357
angles (deg): 59.43 59.43 60.00
Fractional positions:
Mn (0.316, 0.316, 0.051)
Ca (0.816, 0.816, 0.551)
I (0.491, 0.622, 0.807)
I (0.553, 0.141, 0.296)
I (0.010, 0.553, 0.296)
I (0.079, 0.491, 0.807)
I (0.141, 0.010, 0.296)
I (0.622, 0.079, 0.807)
Rb (0.559, 0.559, 0.322)
Rb (0.073, 0.073, 0.780)

---

2.
A plane-wave DFT calculation with GGA-PBE was carried out for crystalline RbCaMn2I at its relaxed geometry.

a b c (Å): 5.991 6.383 5.991
angles (deg): 90.00 90.00 90.00
Fractional positions:
Mn (0.500, 0.000, 0.000)
Mn (0.000, 0.000, 0.500)
I (0.000, 0.500, 0.000)
Ca (0.500, 0.500, 0.500)
Rb (0.000, 0.000, 0.000)

---

no.,E_form (uncorrected) (eV per atom)
1,-1.181
2,1.126